Computed, not measured: an optimized crystal structure of Ca2SmHo at the GGA-PBE level of DFT.

As for the volume: 146 Å³ per cell. The magnetization is 0.00 μB per formula unit. The calculation puts the total energy at -13.091 eV for the cell shown.

Cell and atoms, written as POSCAR:
```
Ca2SmHo
1.0
3.673 0.000 0.500
1.802 3.200 0.500
0.179 0.104 12.427
Sm Ca Ho
1 2 1
direct
0.258 0.258 0.226
0.416 0.416 0.753
0.839 0.839 0.484
0.999 0.999 0.003
```

Computed, not measured: an optimized crystal structure of PrY12Ho7 at the GGA-PBE level of DFT.

As for the volume: 725 Å³ per cell. The magnetization is 0.00 μB per formula unit. The calculation puts the total energy at -100.523 eV for the cell shown.

Cell and atoms, written as POSCAR:
```
PrY12Ho7
1.0
0.415 -3.416 -9.178
-7.064 -4.691 4.916
-1.963 9.602 -0.173
Y Ho Pr
12 7 1
direct
0.000 0.745 0.255
0.255 0.745 0.000
0.491 0.745 0.745
0.000 0.255 0.745
0.745 0.255 0.000
0.255 0.000 0.745
0.509 0.255 0.255
0.745 0.000 0.255
0.745 0.745 0.491
0.255 0.255 0.509
0.255 0.509 0.255
0.745 0.491 0.745
0.500 0.500 0.000
0.500 0.500 0.500
0.000 0.500 0.500
0.500 0.000 0.000
0.500 0.000 0.500
0.000 0.500 0.000
0.000 0.000 0.500
0.000 0.000 0.000
```

Computed, not measured: an optimized crystal structure of GaBi2O at the GGA-PBE level of DFT.

As for the volume: 83 Å³ per cell. The calculation puts the uncorrected formation energy at 0.073 eV per atom. The magnetization is 0.00 μB per formula unit.

Cell and atoms, written as POSCAR:
```
GaBi2O
1.0
-0.637 2.407 4.205
-2.647 4.106 0.088
-4.385 0.034 2.156
Bi Ga O
2 1 1
direct
0.250 0.250 0.250
0.750 0.750 0.750
0.500 0.500 0.500
0.000 0.000 0.000
```

Computed, not measured: an optimized crystal structure of TiCoTe3 at the GGA-PBE level of DFT.

As for the volume: 123 Å³ per cell. The calculation puts the uncorrected formation energy at 0.473 eV per atom. The magnetization is 0.00 μB per formula unit.

Cell and atoms, written as POSCAR:
```
TiCoTe3
1.0
-1.192 -2.006 -4.392
2.481 -4.136 1.216
-4.142 -1.900 1.992
Ti Te Co
1 3 1
direct
0.500 0.500 0.500
0.000 0.500 0.000
0.000 0.000 0.500
0.500 0.000 0.000
0.000 0.000 0.000
```

Computed, not measured: an optimized crystal structure of Ag2BAu2 at the GGA-PBE level of DFT.

As for the volume: 171 Å³ per cell. The magnetization is 0.00 μB per formula unit. The calculation puts the total energy at -34.211 eV for the cell shown.

Cell and atoms, written as POSCAR:
```
Ag2BAu2
1.0
5.877 0.000 0.000
0.000 5.877 0.000
0.000 0.000 4.963
B Ag Au
2 4 4
direct
0.000 0.000 0.000
0.500 0.500 0.000
0.167 0.667 0.500
0.833 0.333 0.500
0.667 0.833 0.500
0.333 0.167 0.500
0.828 0.672 0.000
0.672 0.172 0.000
0.328 0.828 0.000
0.172 0.328 0.000
```

Computed, not measured: an optimized crystal structure of Pr2GaBr2 at the GGA-PBE level of DFT.

As for the volume: 171 Å³ per cell. The calculation puts the uncorrected formation energy at -1.261 eV per atom. The magnetization is 0.00 μB per formula unit.

Cell and atoms, written as POSCAR:
```
Pr2GaBr2
1.0
4.158 0.000 0.000
-2.079 3.600 -0.030
0.000 0.006 11.399
Br Pr Ga
2 2 1
direct
0.163 0.325 0.168
0.837 0.675 0.832
0.169 0.337 0.669
0.831 0.663 0.331
0.500 0.000 0.500
```

Computed, not measured: an optimized crystal structure of Ba6Pd3Au at the GGA-PBE level of DFT.

As for the volume: 795 Å³ per cell. The magnetization is 0.00 μB per formula unit. The calculation puts the total energy at -70.498 eV for the cell shown.

Cell and atoms, written as POSCAR:
```
Ba6Pd3Au
1.0
-4.458 0.878 -1.088
-2.973 -12.886 1.778
-1.536 6.661 11.676
Pd Ba Au
6 12 2
direct
0.750 0.157 0.078
0.750 0.698 0.498
0.250 0.843 0.922
0.750 0.440 0.835
0.250 0.302 0.502
0.250 0.560 0.165
0.750 0.464 0.609
0.250 0.208 0.245
0.250 0.536 0.391
0.750 0.731 0.265
0.750 0.926 0.095
0.250 0.269 0.735
0.250 0.074 0.905
0.750 0.393 0.059
0.250 0.883 0.539
0.750 0.117 0.461
0.250 0.607 0.941
0.750 0.792 0.755
0.250 0.949 0.303
0.750 0.051 0.697
```

Computed, not measured: an optimized crystal structure of KPb5 at the GGA-PBE level of DFT.

As for the volume: 201 Å³ per cell. The magnetization is 0.00 μB per formula unit. The calculation puts the total energy at -19.898 eV for the cell shown.

Cell and atoms, written as POSCAR:
```
KPb5
1.0
7.789 0.193 -0.226
6.886 3.647 -0.226
2.291 0.599 7.335
Pb K
5 1
direct
0.291 0.291 0.869
0.639 0.639 0.698
0.972 0.972 0.555
0.305 0.305 0.414
0.654 0.654 0.242
0.972 0.972 0.056
```

Computed, not measured: an optimized crystal structure of SrCd2W at the GGA-PBE level of DFT.

As for the volume: 89 Å³ per cell. The magnetization is 0.00 μB per formula unit. The calculation puts the total energy at -13.584 eV for the cell shown.

Cell and atoms, written as POSCAR:
```
SrCd2W
1.0
-10.800 0.625 1.064
-10.174 -0.778 3.749
-10.016 2.304 3.541
Cd W Sr
2 1 1
direct
0.509 0.509 0.509
0.991 0.991 0.991
0.250 0.250 0.250
0.750 0.750 0.750
```

Computed, not measured: an optimized crystal structure of LiSi2Os at the GGA-PBE level of DFT.

As for the volume: 188 Å³ per cell. The calculation puts the uncorrected formation energy at 0.285 eV per atom. The magnetization is 0.00 μB per formula unit.

Cell and atoms, written as POSCAR:
```
LiSi2Os
1.0
-3.028 1.585 3.669
0.970 -4.174 2.603
4.741 2.102 6.432
Li Si Os
2 4 2
direct
0.500 0.500 0.000
0.250 0.750 0.500
0.875 0.068 0.750
0.932 0.625 0.250
0.375 0.182 0.750
0.818 0.125 0.250
0.000 0.000 0.000
0.750 0.250 0.500
```

Computed, not measured: an optimized crystal structure of CsScCrMo2 at the GGA-PBE level of DFT.

As for the volume: 117 Å³ per cell. The magnetization is 1.47 μB per formula unit. The calculation puts the total energy at -31.618 eV for the cell shown.

Cell and atoms, written as POSCAR:
```
CsScCrMo2
1.0
4.681 0.000 0.000
0.000 5.318 0.000
0.000 0.000 4.681
Mo Cs Cr Sc
2 1 1 1
direct
0.000 0.000 0.500
0.500 0.000 0.000
0.500 0.500 0.500
0.000 0.000 0.000
0.000 0.500 0.000
```

Computed, not measured: an optimized crystal structure of Tb2PmPu3Te6 at the GGA-PBE level of DFT.

As for the volume: 365 Å³ per cell. The calculation puts the uncorrected formation energy at -1.241 eV per atom. The magnetization is 17.87 μB per formula unit.

Cell and atoms, written as POSCAR:
```
Tb2PmPu3Te6
1.0
4.398 0.000 0.000
0.000 8.866 0.256
-2.199 -2.607 9.298
Te Pu Pm Tb
6 3 1 2
direct
0.999 0.746 0.997
0.668 0.086 0.336
0.001 0.254 0.003
0.332 0.419 0.665
0.332 0.914 0.664
0.668 0.581 0.335
0.835 0.167 0.670
0.165 0.833 0.330
0.500 0.500 0.000
0.500 0.000 0.000
0.166 0.332 0.333
0.834 0.668 0.667
```

Computed, not measured: an optimized crystal structure of CoIr2Os at the GGA-PBE level of DFT.

As for the volume: 54 Å³ per cell. The magnetization is 1.16 μB per formula unit. The calculation puts the total energy at -35.742 eV for the cell shown.

Cell and atoms, written as POSCAR:
```
CoIr2Os
1.0
2.706 0.000 0.000
0.000 2.706 0.000
0.000 0.000 7.416
Ir Co Os
2 1 1
direct
0.000 0.000 0.986
0.500 0.500 0.254
0.500 0.500 0.748
0.000 0.000 0.511
```

Computed, not measured: an optimized crystal structure of Cr2Pb at the GGA-PBE level of DFT.

As for the volume: 61 Å³ per cell. The magnetization is 8.08 μB per formula unit. The calculation puts the total energy at -20.229 eV for the cell shown.

Cell and atoms, written as POSCAR:
```
Cr2Pb
1.0
-1.686 4.001 2.748
-4.497 2.051 -1.404
2.209 -4.402 1.465
Pb Cr
1 2
direct
0.000 0.000 0.000
0.669 0.669 0.000
0.331 0.331 0.000
```

Computed, not measured: an optimized crystal structure of Er4Ag2HgIr at the GGA-PBE level of DFT.

As for the volume: 181 Å³ per cell. The magnetization is 0.00 μB per formula unit. The calculation puts the total energy at -37.534 eV for the cell shown.

Cell and atoms, written as POSCAR:
```
Er4Ag2HgIr
1.0
-3.236 3.006 2.447
-3.774 2.223 -2.512
-7.170 -4.718 1.524
Er Ir Ag Hg
4 1 2 1
direct
0.616 0.616 0.151
0.131 0.131 0.606
0.869 0.869 0.394
0.384 0.384 0.849
0.500 0.500 0.500
0.256 0.256 0.232
0.744 0.744 0.768
0.000 0.000 0.000
```

Computed, not measured: an optimized crystal structure of Cd2CuCl at the GGA-PBE level of DFT.

As for the volume: 88 Å³ per cell. The calculation puts the uncorrected formation energy at 0.261 eV per atom. The magnetization is 0.00 μB per formula unit.

Cell and atoms, written as POSCAR:
```
Cd2CuCl
1.0
4.998 0.000 0.000
2.499 4.329 0.000
2.499 1.443 4.081
Cu Cd Cl
1 2 1
direct
0.750 0.750 0.750
0.250 0.250 0.250
0.000 0.000 0.000
0.500 0.500 0.500
```

no.,D(E_F) (states/eV per atom)
1,1.623
2,1.282
3,0.534
4,1.505
5,0.362
6,0.350
7,0.590
8,0.401
9,0.559
10,0.452
11,0.832
12,2.746
13,1.136
14,1.052
15,0.612
16,0.712